Entry 1:
Below is a relaxed CaCd4Pt crystal, with properties calculated at the GGA-PBE level.

a = 4.1984 Å, b = 7.4693 Å, c = 8.9104 Å
α = 90.00°, β = 90.00°, γ = 90.00°
Atoms (fractional coordinates):
Ca: 0.0000 0.5937 0.7500
Ca: 0.0000 0.4063 0.2500
Cd: 0.0000 0.0000 0.5000
Cd: 0.0000 0.0000 0.0000
Cd: 0.5000 0.9358 0.7500
Cd: 0.5000 0.0642 0.2500
Cd: 0.5000 0.6875 0.0525
Cd: 0.5000 0.3125 0.9475
Cd: 0.5000 0.6875 0.4475
Cd: 0.5000 0.3125 0.5525
Pt: 0.0000 0.2083 0.7500
Pt: 0.0000 0.7917 0.2500

Calculated density ... 8.1 g/cm³
D(E_F) ... 5.470 states/eV/cell
Total magnetic moment ... 0.000 μB per cell
Energy of formation ... -0.371 eV per atom

---

Entry 2:
Below is a relaxed Ca7Hg2N2 crystal, with properties calculated at the GGA-PBE level.

a = 8.0986 Å, b = 6.9443 Å, c = 6.9443 Å
α = 111.56°, β = 96.51°, γ = 96.51°
Atoms (fractional coordinates):
Ca: 0.2688 0.9577 0.6282
Ca: 0.7312 0.3718 0.0423
Ca: 0.7312 0.0423 0.3718
Ca: 0.2688 0.6282 0.9577
Ca: 0.0000 0.0000 0.0000
Ca: 0.8390 0.5712 0.5712
Ca: 0.1610 0.4288 0.4288
Hg: 0.5000 0.3613 0.6387
Hg: 0.5000 0.6387 0.3613
N: 0.8902 0.2635 0.2635
N: 0.1098 0.7365 0.7365

Calculated density ... 3.3 g/cm³
E_form (uncorrected) ... -447 meV/atom
D(E_F) ... 5.723 states/eV/cell
Total magnetic moment ... 0.000 μB per cell